# PBE Ni5Rh6W, optimized geometry
data_Ni5Rh6W
_symmetry_space_group_name_H-M 'P 1'
_symmetry_Int_Tables_number 1
_cell_length_a 7.015
_cell_length_b 7.015
_cell_length_c 4.513
_cell_angle_alpha 92.59
_cell_angle_beta 92.59
_cell_angle_gamma 45.06
loop_
_symmetry_equiv_pos_as_xyz
'x,y,z'
loop_
_atom_site_label
_atom_site_type_symbol
_atom_site_fract_x
_atom_site_fract_y
_atom_site_fract_z
Ni1 Ni 0.000 0.000 0.000
Ni2 Ni 0.167 0.167 0.666
Ni3 Ni 0.337 0.337 0.336
Ni4 Ni 0.663 0.663 0.664
Ni5 Ni 0.833 0.833 0.334
Rh1 Rh 0.081 0.585 0.836
Rh2 Rh 0.245 0.755 0.500
Rh3 Rh 0.415 0.919 0.164
Rh4 Rh 0.585 0.081 0.836
Rh5 Rh 0.755 0.245 0.500
Rh6 Rh 0.919 0.415 0.164
W1 W 0.500 0.500 0.000
# **Calculated formation energy**: -0.03 eV/atom
# **Space group**: C2/m
# **Spin magnetization**: 0.003 μB/atom

---

# PBE MgMn2Tc, optimized geometry
data_MgMn2Tc
_symmetry_space_group_name_H-M 'P 1'
_symmetry_Int_Tables_number 1
_cell_length_a 8.914
_cell_length_b 8.914
_cell_length_c 8.914
_cell_angle_alpha 18.28
_cell_angle_beta 18.28
_cell_angle_gamma 18.28
loop_
_symmetry_equiv_pos_as_xyz
'x,y,z'
loop_
_atom_site_label
_atom_site_type_symbol
_atom_site_fract_x
_atom_site_fract_y
_atom_site_fract_z
Mg1 Mg 0.000 0.000 0.000
Mn1 Mn 0.243 0.243 0.243
Mn2 Mn 0.757 0.757 0.757
Tc1 Tc 0.500 0.500 0.500
# **Calculated formation energy**: 0.31 eV/atom
# **Space group**: R-3m
# **Spin magnetization**: 1.419 μB/atom

---

# PBE Y3ErPb2C, optimized geometry
data_Y3ErPb2C
_symmetry_space_group_name_H-M 'P 1'
_symmetry_Int_Tables_number 1
_cell_length_a 8.745
_cell_length_b 8.745
_cell_length_c 8.745
_cell_angle_alpha 148.17
_cell_angle_beta 147.95
_cell_angle_gamma 45.79
loop_
_symmetry_equiv_pos_as_xyz
'x,y,z'
loop_
_atom_site_label
_atom_site_type_symbol
_atom_site_fract_x
_atom_site_fract_y
_atom_site_fract_z
Y1 Y 0.000 0.000 0.000
Y2 Y 0.342 0.842 0.500
Y3 Y 0.658 0.158 0.500
Er1 Er 0.500 0.500 0.000
Pb1 Pb 0.142 0.642 0.500
Pb2 Pb 0.858 0.358 0.500
C1 C 0.500 0.000 0.500
# **Calculated formation energy**: -0.59 eV/atom
# **Space group**: Immm
# **Spin magnetization**: 0.000 μB/atom

---

# PBE CaGaRh2Cl, optimized geometry
data_CaGaRh2Cl
_symmetry_space_group_name_H-M 'P 1'
_symmetry_Int_Tables_number 1
_cell_length_a 5.036
_cell_length_b 5.036
_cell_length_c 5.064
_cell_angle_alpha 90.00
_cell_angle_beta 90.00
_cell_angle_gamma 90.00
loop_
_symmetry_equiv_pos_as_xyz
'x,y,z'
loop_
_atom_site_label
_atom_site_type_symbol
_atom_site_fract_x
_atom_site_fract_y
_atom_site_fract_z
Ca1 Ca 0.000 0.000 0.000
Ga1 Ga 0.500 0.500 0.500
Rh1 Rh 0.000 0.500 0.000
Rh2 Rh 0.500 0.000 0.000
Cl1 Cl 0.000 0.000 0.500
# **Uncorrected formation energy**: 69.3 kJ per mole of atoms
# **Space group**: P4/mmm
# **Spin magnetization**: 0.317 μB/atom

---

# PBE KHoCuI6, optimized geometry
data_KHoCuI6
_symmetry_space_group_name_H-M 'P 1'
_symmetry_Int_Tables_number 1
_cell_length_a 7.423
_cell_length_b 7.426
_cell_length_c 7.899
_cell_angle_alpha 94.46
_cell_angle_beta 94.61
_cell_angle_gamma 112.06
loop_
_symmetry_equiv_pos_as_xyz
'x,y,z'
loop_
_atom_site_label
_atom_site_type_symbol
_atom_site_fract_x
_atom_site_fract_y
_atom_site_fract_z
K1 K 0.000 0.000 0.000
Ho1 Ho 0.344 0.657 0.500
Cu1 Cu 0.696 0.306 0.500
I1 I 0.031 0.609 0.229
I2 I 0.035 0.344 0.672
I3 I 0.391 0.968 0.772
I4 I 0.436 0.353 0.274
I5 I 0.648 0.564 0.726
I6 I 0.656 0.966 0.328
# **Uncorrected formation energy**: -89.5 kJ per mole of atoms
# **Space group**: P1
# **Spin magnetization**: 0.104 μB/atom

---

# PBE CaBiRhAu, optimized geometry
data_CaBiRhAu
_symmetry_space_group_name_H-M 'P 1'
_symmetry_Int_Tables_number 1
_cell_length_a 4.963
_cell_length_b 4.963
_cell_length_c 4.963
_cell_angle_alpha 60.00
_cell_angle_beta 60.00
_cell_angle_gamma 60.00
loop_
_symmetry_equiv_pos_as_xyz
'x,y,z'
loop_
_atom_site_label
_atom_site_type_symbol
_atom_site_fract_x
_atom_site_fract_y
_atom_site_fract_z
Ca1 Ca 0.000 0.000 0.000
Bi1 Bi 0.500 0.500 0.500
Rh1 Rh 0.750 0.750 0.750
Au1 Au 0.250 0.250 0.250
# **Calculated formation energy**: -0.34 eV/atom
# **Space group**: F-43m
# **Spin magnetization**: 0.000 μB/atom